An optimized crystal structure of Al4GaS7, computed with PBE.

Results
E_form (uncorrected)	-0.867	eV per atom
total moment	0.085	μB/atom
space group	Pmn2_1

Cell lengths 6.168, 6.445, 15.358 Å; angles 90.00, 90.00, 90.00 degrees
Element x y z (fractional)
Al 0.581 0.678 0.876
Al 0.048 0.829 0.246
Al 0.548 0.171 0.254
Al 0.081 0.322 0.624
Al 0.081 0.322 0.376
Al 0.581 0.678 0.124
Al 0.048 0.829 0.754
Al 0.548 0.171 0.746
Ga 0.829 0.833 0.500
Ga 0.329 0.167 0.000
S 0.938 0.693 0.123
S 0.438 0.307 0.377
S 0.459 0.341 0.871
S 0.959 0.659 0.629
S 0.959 0.659 0.371
S 0.459 0.341 0.129
S 0.427 0.836 0.757
S 0.927 0.164 0.743
S 0.927 0.164 0.257
S 0.427 0.836 0.243
S 0.422 0.802 0.000
S 0.922 0.198 0.500
S 0.938 0.693 0.877
S 0.438 0.307 0.623